[1]
Pa6MoSe12, relaxed, DFT PBE-GGA; space group = R-3; formation energy (no corrections) = -1120 meV per atom
1.0
6.142 3.546 3.865
-6.142 3.546 3.865
0.000 -7.092 3.865
Pa Mo Se
6 1 12
Direct
0.128 0.641 0.295
0.295 0.128 0.641
0.359 0.705 0.872
0.641 0.295 0.128
0.705 0.872 0.359
0.872 0.359 0.705
0.000 0.000 0.000
0.014 0.681 0.931
0.069 0.986 0.319
0.181 0.432 0.570
0.319 0.069 0.986
0.430 0.819 0.568
0.432 0.570 0.181
0.568 0.430 0.819
0.570 0.181 0.432
0.681 0.931 0.014
0.819 0.568 0.430
0.931 0.014 0.681
0.986 0.319 0.069

=====

[2]
PaMoSe2, relaxed, DFT PBE-GGA; space group = R-3m; formation energy (no corrections) = -27 meV per atom
1.0
1.666 0.962 9.215
-1.666 0.962 9.215
0.000 -1.924 9.215
Pa Mo Se
1 1 2
Direct
0.000 0.000 0.000
0.500 0.500 0.500
0.411 0.411 0.411
0.589 0.589 0.589

=====

[3]
PaMo4Se8, relaxed, DFT PBE-GGA; space group = R-3m; formation energy (no corrections) = -446 meV per atom
1.0
3.550 2.049 6.566
-3.550 2.049 6.566
0.000 -4.099 6.566
Pa Mo Se
1 4 8
Direct
0.000 0.000 0.000
0.000 0.000 0.500
0.000 0.500 0.000
0.500 0.000 0.000
0.500 0.500 0.500
0.247 0.247 0.247
0.260 0.260 0.734
0.260 0.734 0.260
0.266 0.740 0.740
0.734 0.260 0.260
0.740 0.266 0.740
0.740 0.740 0.266
0.753 0.753 0.753

=====

[4]
PaMo2Se3, relaxed, DFT PBE-GGA; space group = C2/m; formation energy (no corrections) = -442 meV per atom
1.0
10.046 -1.779 0.000
10.046 1.779 0.000
-0.899 0.000 8.192
Pa Mo Se
2 4 6
Direct
0.158 0.158 0.044
0.842 0.842 0.956
0.213 0.213 0.434
0.449 0.449 0.871
0.551 0.551 0.129
0.787 0.787 0.566
0.087 0.087 0.340
0.240 0.240 0.763
0.423 0.423 0.166
0.577 0.577 0.834
0.760 0.760 0.237
0.913 0.913 0.660

=====

[5]
Pa2MoSe, relaxed, DFT PBE-GGA; space group = R-3m; formation energy (no corrections) = -341 meV per atom
1.0
1.993 1.151 7.091
-1.993 1.151 7.091
0.000 -2.302 7.091
Pa Mo Se
2 1 1
Direct
0.240 0.240 0.240
0.760 0.760 0.760
0.500 0.500 0.500
0.000 0.000 0.000

=====

[6]
Pa3Si8Mo3, relaxed, DFT PBE-GGA; space group = Immm; formation energy (no corrections) = -306 meV per atom
1.0
-2.042 4.213 7.086
2.042 -4.213 7.086
2.042 4.213 -7.086
Pa Si Mo
3 8 3
Direct
0.000 0.000 0.000
0.282 0.282 0.000
0.718 0.718 0.000
0.007 0.646 0.361
0.159 0.871 0.288
0.284 0.646 0.639
0.417 0.129 0.288
0.583 0.871 0.712
0.716 0.354 0.361
0.841 0.129 0.712
0.993 0.354 0.639
0.307 0.500 0.807
0.500 0.000 0.500
0.693 0.500 0.193

=====

[7]
PaSiMo, relaxed, DFT PBE-GGA; space group = I4/mmm; formation energy (no corrections) = -409 meV per atom
1.0
-2.078 2.078 6.894
2.078 -2.078 6.894
2.078 2.078 -6.894
Pa Si Mo
2 2 2
Direct
0.154 0.154 0.000
0.846 0.846 0.000
0.378 0.378 0.000
0.622 0.622 0.000
0.000 0.500 0.500
0.500 0.000 0.500

=====

[8]
PaSi2Mo3, relaxed, DFT PBE-GGA; space group = C2/m; formation energy (no corrections) = -312 meV per atom
1.0
7.213 -2.196 0.000
7.213 2.196 0.000
-2.388 0.000 6.472
Pa Si Mo
2 4 6
Direct
0.120 0.120 0.205
0.880 0.880 0.795
0.230 0.230 0.677
0.469 0.469 0.144
0.531 0.531 0.856
0.770 0.770 0.323
0.058 0.058 0.697
0.288 0.288 0.089
0.397 0.397 0.497
0.603 0.603 0.503
0.712 0.712 0.911
0.942 0.942 0.303

=====

[9]
PaSiMo, relaxed, DFT PBE-GGA; space group = P-6m2; formation energy (no corrections) = -192 meV per atom
1.0
4.351 0.000 0.000
-2.176 3.768 0.000
0.000 0.000 3.623
Pa Si Mo
1 1 1
Direct
0.000 0.000 0.000
0.667 0.333 0.500
0.333 0.667 0.500

=====

[10]
Pa2SiMo, relaxed, DFT PBE-GGA; space group = P4/mmm; formation energy (no corrections) = -228 meV per atom
1.0
4.328 0.000 0.000
0.000 4.328 0.000
0.000 0.000 4.233
Pa Si Mo
2 1 1
Direct
0.000 0.500 0.000
0.500 0.000 0.000
0.000 0.000 0.500
0.500 0.500 0.500

=====

[11]
Pa2Si3Mo, relaxed, DFT PBE-GGA; space group = P6_3/mmc; formation energy (no corrections) = -462 meV per atom
1.0
5.467 0.000 0.000
-2.734 4.735 0.000
0.000 0.000 8.236
Pa Si Mo
4 6 2
Direct
0.333 0.667 0.086
0.333 0.667 0.414
0.667 0.333 0.586
0.667 0.333 0.914
0.171 0.341 0.750
0.171 0.829 0.750
0.341 0.171 0.250
0.659 0.829 0.750
0.829 0.171 0.250
0.829 0.659 0.250
0.000 0.000 0.000
0.000 0.000 0.500

=====

[12]
PaSiMo, relaxed, DFT PBE-GGA; space group = Cmcm; formation energy (no corrections) = -151 meV per atom
1.0
1.612 -10.559 0.000
1.612 10.559 0.000
0.000 0.000 3.215
Pa Si Mo
2 2 2
Direct
0.061 0.939 0.750
0.939 0.061 0.250
0.345 0.655 0.750
0.655 0.345 0.250
0.211 0.789 0.750
0.789 0.211 0.250